[1]
PBE Pm6Nd2Se3, optimized geometry; D(E_F) = 11.20 states/eV/cell; space-group type = No. 166; raw formation energy = -976 kJ/mol of formula units; energy = -5.328 eV/atom
1.0
1.9571 1.1299 25.9465
-1.9571 1.1299 25.9465
0.0000 -2.2599 25.9465
Pm Nd Se
6 2 3
Cartesian
0.0000 0.0000 5.6551 Pm
0.0000 0.0000 14.4200 Pm
0.0000 0.0000 27.8390 Pm
0.0000 0.0000 50.0005 Pm
0.0000 0.0000 63.4195 Pm
0.0000 0.0000 72.1844 Pm
0.0000 0.0000 34.5612 Nd
0.0000 0.0000 43.2783 Nd
0.0000 0.0000 0.0000 Se
0.0000 0.0000 22.1953 Se
0.0000 0.0000 55.6442 Se

[2]
PBE KBaP2, optimized geometry; D(E_F) = 4.15 states/eV/cell; space-group type = No. 123; energy = -3.450 eV/atom; calculated formation energy = 0.0104 eV per atom; distance to the lowest polymorph of the same formula = 2.62 eV/f.u.
1.0
4.6861 0.0000 0.0000
0.0000 4.6861 0.0000
0.0000 0.0000 6.6434
K Ba P
1 1 2
Cartesian
0.0000 0.0000 0.0000 K
2.3430 2.3430 3.3217 Ba
0.0000 0.0000 3.3217 P
2.3430 2.3430 0.0000 P

[3]
PBE FeSe3, optimized geometry; D(E_F) = 3.90 states/eV/cell; space-group type = No. 25; raw formation energy = 108 kJ/mol of formula units; energy = -4.450 eV/atom
1.0
3.4753 0.0000 0.0000
0.0000 3.5934 0.0000
0.0000 0.0000 8.1618
Fe Se
1 3
Cartesian
0.0000 0.0000 0.0000 Fe
0.0000 1.7967 4.5970 Se
1.7376 0.0000 5.3465 Se
1.7376 1.7967 0.5281 Se

[4]
PBE NiIr, optimized geometry; D(E_F) = 12.26 states/eV/cell; space-group type = No. 136; energy = -6.538 eV/atom; calculated formation energy = 0.7833 eV per atom
1.0
7.7231 0.0000 0.0000
0.0000 7.7231 0.0000
0.0000 0.0000 2.5270
Ni Ir
4 4
Cartesian
1.4763 1.4763 0.0000 Ni
2.3852 5.3379 1.2635 Ni
5.3379 2.3852 1.2635 Ni
6.2467 6.2467 0.0000 Ni
0.9142 6.8089 0.0000 Ir
2.9473 2.9473 1.2635 Ir
4.7757 4.7757 1.2635 Ir
6.8089 0.9142 0.0000 Ir

[5]
PBE Pu2BeGe, optimized geometry; D(E_F) = 11.08 states/eV/cell; space-group type = No. 123; energy = -9.310 eV/atom; calculated formation energy = -0.0579 eV per atom; distance to the lowest polymorph of the same formula = 0.00 eV/f.u.
1.0
3.8071 0.0000 0.0000
0.0000 3.8071 0.0000
0.0000 0.0000 5.4504
Pu Be Ge
2 1 1
Cartesian
0.0000 0.0000 1.3626 Pu
0.0000 0.0000 4.0878 Pu
1.9035 1.9035 0.0000 Be
1.9035 1.9035 2.7252 Ge

[6]
PBE Ca2PSe, optimized geometry; D(E_F) = 0.93 states/eV/cell; space-group type = No. 44; raw formation energy = -473 kJ/mol of formula units; energy = -4.450 eV/atom; distance to the lowest polymorph of the same formula = 0.47 eV/f.u.
1.0
-1.8455 1.8845 7.4611
1.8455 -1.8845 7.4611
1.8455 1.8845 -7.4611
Ca P Se
2 1 1
Cartesian
0.0000 0.0000 0.0000 Ca
0.0000 1.8845 3.6378 Ca
1.8455 0.0000 5.1233 P
0.0000 0.0000 8.7971 Se